Record 1
Here is a geometry-optimized Sc6BeNi5 structure from Alexandria via LeMat-Bulk. Energies are from GGA-PBE.

abc: 4.485 6.336 7.088
angles: 90.00 108.34 90.00
Fractional coordinates of all 12 atoms:
Sc 0.834 0.750 0.667
Sc 0.834 0.250 0.667
Sc 0.500 0.251 0.000
Sc 0.500 0.749 0.000
Sc 0.166 0.750 0.333
Sc 0.166 0.250 0.333
Be 0.000 0.000 0.000
Ni 0.667 0.500 0.338
Ni 0.339 0.000 0.675
Ni 0.000 0.500 0.000
Ni 0.661 0.000 0.325
Ni 0.333 0.500 0.662

Output
**E_form**: -491 kJ/mol of formula units



Record 2
Here is a geometry-optimized CaY2HoSb4 structure from Alexandria via LeMat-Bulk. Energies are from GGA-PBE.

abc: 4.385 7.667 7.676
angles: 70.91 90.00 90.00
Fractional coordinates of all 8 atoms:
Ca 0.500 0.500 0.000
Y 0.000 0.000 0.000
Y 0.500 0.000 0.500
Ho 0.000 0.500 0.500
Sb 0.000 0.755 0.744
Sb 0.000 0.245 0.256
Sb 0.500 0.751 0.254
Sb 0.500 0.249 0.746

Output
**Uncorrected formation energy**: -1047 meV/atom



Record 3
Here is a geometry-optimized SrTbPtO4 structure from Alexandria via LeMat-Bulk. Energies are from GGA-PBE.

abc: 6.677 6.829 7.043
angles: 121.04 90.00 119.27
Site moments in Bohr magnetons follow the coordinates.
Fractional coordinates of all 14 atoms:
Sr 0.852 0.705 0.102  0.01
Sr 0.148 0.295 0.898  0.01
Tb 0.500 0.000 0.500  -0.01
Tb 0.500 0.000 0.000  -0.01
Pt 0.500 0.500 0.500  0.55
Pt 0.000 0.500 0.500  0.55
O 0.741 0.482 0.673  0.02
O 0.270 0.963 0.231  0.15
O 0.693 0.963 0.231  0.15
O 0.741 0.482 0.309  0.02
O 0.259 0.518 0.691  0.02
O 0.730 0.037 0.769  0.15
O 0.307 0.037 0.769  0.15
O 0.259 0.518 0.327  0.02

Output
**Uncorrected formation energy**: -2065 meV/atom



Record 4
Here is a geometry-optimized BPSe2Br structure from Alexandria via LeMat-Bulk. Energies are from GGA-PBE.

abc: 4.576 4.576 4.397
angles: 90.00 90.00 90.00
Fractional coordinates of all 5 atoms:
P 0.500 0.500 0.500
B 0.000 0.000 0.000
Se 0.000 0.500 0.000
Se 0.500 0.000 0.000
Br 0.000 0.000 0.500

Output
**Uncorrected formation energy**: 966 meV/atom
**Energy relative to the lowest polymorph listed for this composition**: 0 meV/atom



Record 5
Here is a geometry-optimized Nb4Au2N structure from Alexandria via LeMat-Bulk. Energies are from GGA-PBE.

abc: 4.195 4.195 7.535
angles: 73.84 73.84 90.00
Fractional coordinates of all 7 atoms:
Nb 0.161 0.161 0.677
Nb 0.839 0.839 0.323
Nb 0.000 0.500 0.000
Nb 0.500 0.000 0.000
Au 0.357 0.357 0.285
Au 0.643 0.643 0.715
N 0.000 0.000 0.000

Output
**Uncorrected formation energy**: -195 meV/atom



Record 6
Here is a geometry-optimized BaAsPS2 structure from Alexandria via LeMat-Bulk. Energies are from GGA-PBE.

abc: 6.076 6.076 6.612
angles: 90.00 90.00 90.00
Site moments in Bohr magnetons follow the coordinates.
Fractional coordinates of all 5 atoms:
S 0.000 0.500 0.000  0.61
S 0.500 0.000 0.000  0.61
P 0.000 0.000 0.500  1.03
As 0.500 0.500 0.500  1.13
Ba 0.000 0.000 0.000  0.04

Output
**Uncorrected formation energy**: 1172 meV/atom
**Energy relative to the lowest polymorph listed for this composition**: 1605 meV/atom



| no. | energy (eV/cell) |
| --- | --- |
| 1 | -75.71 |
| 2 | -44.37 |
| 3 | -93.29 |
| 4 | -15.90 |
| 5 | -56.52 |
| 6 | -14.38 |